{
  "formula": "Tl2CdBr",
  "functional": "GGA-PBEsol",
  "state": "relaxed",
  "dos_at_fermi_per_ev_fu": 1.44,
  "magnetic_moment_mub_per_fu": 0.000,
  "energy_ev_per_atom": -2.29,
  "volume_a3_per_atom": 27.785,
  "raw_formation_energy_ev_per_atom": -0.213,
  "lattice": [[3.976, 0.000, 0.000], [0.000, 3.976, 0.000], [0.000, 0.000, 7.031]],
  "species": ["Tl", "Tl", "Cd", "Br"],
  "frac_coords": [[0.000, 0.000, 0.245], [0.000, 0.000, 0.755], [0.500, 0.500, 0.000], [0.500, 0.500, 0.500]]
}